! La3Nd3Ho | Alexandria | GGA-PBE | relaxed; values from VASP
! Density of states at the Fermi level   11.9 states/eV/f.u.
! Calculated total energy   -66.89 eV per cell
! Distance to the lowest polymorph of the same formula   0.0 meV/atom
! Symmetry   P6_3/m
&SYSTEM
  ibrav = 0, nat = 14, ntyp = 3
/
ATOMIC_SPECIES
Nd 144.24 Nd.upf
La 138.91 La.upf
Ho 164.93 Ho.upf
CELL_PARAMETERS angstrom
-0.815 -5.244 -2.663
7.212 -3.913 5.498
-9.331 -0.192 3.232
ATOMIC_POSITIONS angstrom
Nd 1.063 -7.572 4.655
Nd -3.996 -1.777 1.411
Nd -2.196 -3.463 4.180
Nd -5.869 -2.990 4.373
Nd -0.738 -5.886 1.886
Nd 2.936 -6.359 1.694
La -2.659 -7.052 4.770
La -0.274 -2.297 1.297
La -0.403 -5.184 7.020
La 5.160 -4.470 3.914
La -8.093 -4.879 2.153
La -2.530 -4.165 -0.953
Ho -4.428 -5.365 1.990
Ho 1.494 -3.984 4.077